1.
The following is a PBE calculation of a relaxed CaTiNb2Fe crystal, from the Alexandria database.

Structure (POSCAR):
```
CaTiNb2Fe
1.0
4.629 0.000 0.000
0.000 4.629 0.000
0.000 0.000 5.018
Ca Ti Nb Fe
1 1 2 1
Direct
0.000 0.000 0.000 Ca
0.500 0.500 0.000 Ti
0.000 0.500 0.500 Nb
0.500 0.000 0.500 Nb
0.000 0.000 0.500 Fe
```

Computed properties:
- V (Å³/f.u.) = 108
- E_form (meV per atom) = 875
- theoretical density (g/cm3) = 5.1

---

2.
The following is a PBE calculation of a relaxed CaNdFe4 crystal, from the Alexandria database.

Structure (POSCAR):
```
CaNdFe4
1.0
0.000 3.696 3.696
3.696 0.000 3.696
3.696 3.696 0.000
Ca Nd Fe
1 1 4
Direct
0.000 0.000 0.000 Ca
0.250 0.250 0.250 Nd
0.125 0.625 0.625 Fe
0.625 0.125 0.625 Fe
0.625 0.625 0.125 Fe
0.625 0.625 0.625 Fe
```

Computed properties:
- V (Å³/f.u.) = 101
- E_form (meV per atom) = 169
- theoretical density (g/cm3) = 6.7

---

Q: Number 1 is which compound?
A: CaTiNb2Fe